Record 1
The following is a GGA-PBE calculation of a relaxed NbCu2Pt crystal, from Alexandria via LeMat-Bulk.

Lattice parameters (Å, degrees): 5.5850 5.5850 5.5850 102.52 102.52 124.49
Sites, in units of the cell vectors:
Nb 0.0000 0.0000 0.0000
Nb 0.7500 0.2500 0.5000
Cu 0.1330 0.6250 0.0080
Cu 0.3750 0.3830 0.5080
Cu 0.6170 0.1250 0.9920
Cu 0.8750 0.8670 0.4920
Pt 0.2500 0.7500 0.5000
Pt 0.5000 0.5000 0.0000

Values from the calculation:
- Formation energy from the elements: 0.35 eV per atom
- Calculated volume: 15.88 Å³/atom

Record 2
The following is a GGA-PBE calculation of a relaxed LiAg2RhBr6 crystal, from Alexandria via LeMat-Bulk.

Lattice parameters (Å, degrees): 7.7122 7.7122 7.7122 52.88 52.88 52.88
Sites, in units of the cell vectors:
Li 0.0000 0.0000 0.0000
Ag 0.1608 0.1608 0.1608
Ag 0.6708 0.6708 0.6708
Rh 0.3415 0.3415 0.3415
Br 0.1139 0.4077 0.7203
Br 0.2555 0.9748 0.5677
Br 0.4077 0.7203 0.1139
Br 0.5677 0.2555 0.9748
Br 0.7203 0.1139 0.4077
Br 0.9748 0.5677 0.2555

Values from the calculation:
- Calculated volume: 27.02 Å³/atom
- E_form (uncorrected): -0.576 eV/atom

Record 3
The following is a GGA-PBE calculation of a relaxed Pr2NdPuSe4 crystal, from Alexandria via LeMat-Bulk.

Lattice parameters (Å, degrees): 7.3293 4.2072 7.3383 90.00 109.19 90.00
Sites, in units of the cell vectors:
Pr 0.0000 0.0000 0.0000
Pr 0.5000 0.5000 0.0000
Nd 0.0000 0.5000 0.5000
Pu 0.5000 0.0000 0.5000
Se 0.2518 0.0000 0.7445
Se 0.2562 0.5000 0.2580
Se 0.7438 0.5000 0.7420
Se 0.7482 0.0000 0.2555

Values from the calculation:
- Calculated volume: 26.71 Å³/atom
- E_form (uncorrected): -1.778 eV/atom

Record 4
The following is a GGA-PBE calculation of a relaxed Tl2CdI8 crystal, from Alexandria via LeMat-Bulk.

Lattice parameters (Å, degrees): 11.5470 11.5470 14.5095 127.85 127.85 48.17
Sites, in units of the cell vectors:
Tl 0.1535 0.6699 0.9613
Tl 0.3301 0.8465 0.5387
Tl 0.6699 0.1535 0.4613
Tl 0.8465 0.3301 0.0387
Cd 0.4948 0.5052 0.2500
Cd 0.5052 0.4948 0.7500
I 0.1610 0.6588 0.7627
I 0.1749 0.1792 0.0682
I 0.1792 0.1749 0.5682
I 0.1934 0.6470 0.2972
I 0.3412 0.8390 0.7373
I 0.3427 0.3460 0.9790
I 0.3460 0.3427 0.4790
I 0.3530 0.8066 0.2028
I 0.6470 0.1934 0.7972
I 0.6540 0.6573 0.5210
I 0.6573 0.6540 0.0210
I 0.6588 0.1610 0.2627
I 0.8066 0.3530 0.7028
I 0.8208 0.8251 0.4318
I 0.8251 0.8208 0.9318
I 0.8390 0.3412 0.2373

Values from the calculation:
- Calculated volume: 48.51 Å³/atom
- E_form (uncorrected): -0.327 eV/atom

Record 5
The following is a GGA-PBE calculation of a relaxed YTm5Tl6 crystal, from Alexandria via LeMat-Bulk.

Lattice parameters (Å, degrees): 9.2298 9.2298 5.3302 106.72 106.72 120.30
Sites, in units of the cell vectors:
Y 0.0000 0.0000 0.0000
Tm 0.1659 0.8341 0.5000
Tm 0.3332 0.6668 0.0000
Tm 0.5000 0.5000 0.5000
Tm 0.6668 0.3332 0.0000
Tm 0.8341 0.1659 0.5000
Tl 0.0838 0.4192 0.2513
Tl 0.2527 0.2527 0.7529
Tl 0.4192 0.0838 0.2513
Tl 0.5808 0.9162 0.7487
Tl 0.7473 0.7473 0.2471
Tl 0.9162 0.5808 0.7487

Values from the calculation:
- Formation energy from the elements: -0.30 eV per atom
- Calculated volume: 26.66 Å³/atom
- Excess energy over the best structure of this formula in the dataset: 0.000 eV/atom

Record 6
The following is a GGA-PBE calculation of a relaxed Rb2Na2S crystal, from Alexandria via LeMat-Bulk.

Lattice parameters (Å, degrees): 8.3741 8.3741 7.1018 90.00 90.00 90.00
Sites, in units of the cell vectors:
Rb 0.1652 0.3348 0.0000
Rb 0.3348 0.8348 0.0000
Rb 0.6652 0.1652 0.0000
Rb 0.8348 0.6652 0.0000
Na 0.1551 0.6551 0.5000
Na 0.3449 0.1551 0.5000
Na 0.6551 0.8449 0.5000
Na 0.8449 0.3449 0.5000
S 0.0000 0.0000 0.0000
S 0.5000 0.5000 0.0000

Values from the calculation:
- Calculated volume: 49.80 Å³/atom
- Excess energy over the best structure of this formula in the dataset: 0.072 eV/atom
- E_form (uncorrected): -0.265 eV/atom

Record 7
The following is a GGA-PBE calculation of a relaxed Na2BeReO6 crystal, from Alexandria via LeMat-Bulk.

Lattice parameters (Å, degrees): 5.6520 5.6520 4.7220 90.00 90.00 120.00
Sites, in units of the cell vectors:
Na 0.3333 0.6667 0.4101
Na 0.6667 0.3333 0.5899
Be 0.0000 0.0000 0.5000
Re 0.0000 0.0000 0.0000
O 0.1488 0.2977 0.7428
O 0.1488 0.8512 0.7428
O 0.2977 0.1488 0.2572
O 0.7023 0.8512 0.7428
O 0.8512 0.1488 0.2572
O 0.8512 0.7023 0.2572

Values from the calculation:
- Calculated volume: 13.06 Å³/atom
- E_form (uncorrected): -1.445 eV/atom

Record 8
The following is a GGA-PBE calculation of a relaxed NdDyLuTl crystal, from Alexandria via LeMat-Bulk.

Lattice parameters (Å, degrees): 5.4974 5.4974 5.4974 60.00 60.00 60.00
Sites, in units of the cell vectors:
Nd 0.0000 0.0000 0.0000
Dy 0.5000 0.5000 0.5000
Lu 0.7500 0.7500 0.7500
Tl 0.2500 0.2500 0.2500

Values from the calculation:
- Formation energy from the elements: -0.06 eV per atom
- Calculated volume: 29.37 Å³/atom

Record 9
The following is a GGA-PBE calculation of a relaxed TbPuZn crystal, from Alexandria via LeMat-Bulk.

Lattice parameters (Å, degrees): 6.6467 6.6467 6.6467 149.41 149.41 43.80
Sites, in units of the cell vectors:
Tb 0.0000 0.0000 0.0000
Pu 0.2957 0.2957 0.0000
Zn 0.6454 0.6454 0.0000

Values from the calculation:
- Formation energy from the elements: -0.06 eV per atom
- Calculated volume: 25.27 Å³/atom
- Excess energy over the best structure of this formula in the dataset: 0.000 eV/atom

Record 10
The following is a GGA-PBE calculation of a relaxed ZrTiBeNb crystal, from Alexandria via LeMat-Bulk.

Lattice parameters (Å, degrees): 4.5831 4.5831 4.5831 60.00 60.00 60.00
Sites, in units of the cell vectors:
Zr 0.0000 0.0000 0.0000
Ti 0.5000 0.5000 0.5000
Be 0.2500 0.2500 0.2500
Nb 0.7500 0.7500 0.7500

Values from the calculation:
- Formation energy from the elements: 0.12 eV per atom
- Calculated volume: 17.02 Å³/atom

Record 11
The following is a GGA-PBE calculation of a relaxed K4Pm3ThTe8 crystal, from Alexandria via LeMat-Bulk.

Lattice parameters (Å, degrees): 9.8318 9.8318 9.8318 55.25 55.25 55.25
Sites, in units of the cell vectors:
K 0.0000 0.0000 0.0000
K 0.0000 0.5000 0.5000
K 0.5000 0.0000 0.5000
K 0.5000 0.5000 0.0000
Pm 0.0000 0.0000 0.5000
Pm 0.0000 0.5000 0.0000
Pm 0.5000 0.0000 0.0000
Th 0.5000 0.5000 0.5000
Te 0.2384 0.2384 0.2384
Te 0.2410 0.7373 0.7373
Te 0.2627 0.2627 0.7590
Te 0.2627 0.7590 0.2627
Te 0.7373 0.2410 0.7373
Te 0.7373 0.7373 0.2410
Te 0.7590 0.2627 0.2627
Te 0.7616 0.7616 0.7616

Values from the calculation:
- Calculated volume: 37.37 Å³/atom
- E_form (uncorrected): -1.357 eV/atom

Record 12
The following is a GGA-PBE calculation of a relaxed Cs2Sc3Cl10 crystal, from Alexandria via LeMat-Bulk.

Lattice parameters (Å, degrees): 12.7655 12.7655 10.2923 111.11 111.11 34.16
Sites, in units of the cell vectors:
Cs 0.1179 0.1179 0.2339
Cs 0.2243 0.2243 0.8197
Cs 0.7757 0.7757 0.1803
Cs 0.8821 0.8821 0.7661
Sc 0.2588 0.7412 0.5000
Sc 0.3185 0.3185 0.4767
Sc 0.4223 0.4223 0.0215
Sc 0.5777 0.5777 0.9785
Sc 0.6815 0.6815 0.5233
Sc 0.7412 0.2588 0.5000
Cl 0.0000 0.5000 0.5000
Cl 0.0183 0.0183 0.6736
Cl 0.1203 0.6014 0.0354
Cl 0.1500 0.6321 0.4694
Cl 0.2669 0.2669 0.2268
Cl 0.2803 0.7197 0.0000
Cl 0.3679 0.8500 0.5306
Cl 0.3694 0.3694 0.7508
Cl 0.3986 0.8797 0.9646
Cl 0.4787 0.4787 0.3036
Cl 0.5000 0.0000 0.5000
Cl 0.5213 0.5213 0.6964
Cl 0.6014 0.1203 0.0354
Cl 0.6306 0.6306 0.2492
Cl 0.6321 0.1500 0.4694
Cl 0.7197 0.2803 0.0000
Cl 0.7331 0.7331 0.7732
Cl 0.8500 0.3679 0.5306
Cl 0.8797 0.3986 0.9646
Cl 0.9817 0.9817 0.3264

Values from the calculation:
- Calculated volume: 29.08 Å³/atom
- E_form (uncorrected): -2.061 eV/atom

Among the records above, which one has the lowest calculated volume? Na2BeReO6

What is the formula in the eleventh record? K4Pm3ThTe8

The highest calculated volume belongs to which entry? Rb2Na2S